A crystal of MgCuPb relaxed with PBEsol, computed with meta-GGA SCAN.

abc: 3.2459 3.2459 6.1512
angles: 105.30 105.30 90.00
With the nearest neighbours (Å) after each atom.
Fractional positions:
Cu 0.0123 0.0123 0.0245  4 Mg 2.71, 4 Pb 2.95
Pb 0.3499 0.3499 0.6999  4 Cu 2.95, 4 Pb 3.25, 1 Mg 3.29
Mg 0.6378 0.6378 0.2756  4 Cu 2.71

Properties
The calculation puts the formation energy at 60 meV per atom. As for the space group: I4mm, No. 107. For the total energy, the calculation gives -31.925 eV/atom.

***

A crystal of Y3As relaxed with PBEsol, computed with meta-GGA SCAN.

abc: 3.7189 5.0304 6.3875
angles: 113.19 106.92 90.00
With the nearest neighbours (Å) after each atom.
Fractional positions:
Y 0.2977 0.2977 0.5953  2 As 2.92
Y 0.7023 0.7023 0.4047  2 As 2.92
Y 0.5000 0.0000 0.0000  4 As 3.13, 4 Y 3.38
As 0.0000 0.5000 0.0000  8 Y 2.92-3.13

Properties
The calculation puts the formation energy at -638 meV per atom. As for the space group: Immm, No. 71. For the total energy, the calculation gives -26.568 eV/atom.

***

A crystal of TcHgRh2 relaxed with PBEsol, computed with meta-GGA SCAN.

abc: 2.7827 4.7764 4.7877
angles: 100.02 106.89 90.00
With the nearest neighbours (Å) after each atom.
Fractional positions:
Rh 0.9939 0.9978 0.9877  4 Tc 2.63-2.91, 3 Hg 2.69-2.79, 5 Rh 2.77-2.85
Rh 0.2469 0.7278 0.4939  3 Tc 2.60-2.72, 4 Hg 2.73-2.80, 5 Rh 2.77-2.85
Tc 0.5092 0.5377 0.0184  7 Rh 2.60-2.91, 2 Tc 2.78, 3 Hg 2.84-2.90
Hg 0.7500 0.2367 0.5000  7 Rh 2.69-2.80, 2 Hg 2.78, 3 Tc 2.84-2.90

Properties
The calculation puts the formation energy at 231 meV per atom. As for the space group: Cm, No. 8. For the total energy, the calculation gives -42.461 eV/atom.

***

A crystal of NaFe4Sb12 relaxed with PBEsol, computed with meta-GGA SCAN.

abc: 7.8543 7.8543 7.8543
angles: 109.47 109.47 109.47
With the nearest neighbours (Å) after each atom.
Fractional positions:
Fe 0.5000 0.0000 0.0000  6 Sb 2.52
Fe 0.5000 0.5000 0.5000  6 Sb 2.52
Fe 0.0000 0.5000 0.0000  6 Sb 2.52
Fe 0.0000 0.0000 0.5000  6 Sb 2.52
Sb 0.8282 0.1618 0.6664  2 Fe 2.52
Sb 0.8382 0.6664 0.5047  2 Fe 2.52
Sb 0.1618 0.6664 0.8282  2 Fe 2.52
Sb 0.4953 0.1618 0.3336  2 Fe 2.52
Sb 0.1718 0.8382 0.3336  2 Fe 2.52
Sb 0.8382 0.3336 0.1718  2 Fe 2.52
Sb 0.6664 0.8282 0.1618  2 Fe 2.52
Sb 0.3336 0.4953 0.1618  2 Fe 2.52
Sb 0.5047 0.8382 0.6664  2 Fe 2.52
Sb 0.6664 0.5047 0.8382  2 Fe 2.52
Sb 0.1618 0.3336 0.4953  2 Fe 2.52
Sb 0.3336 0.1718 0.8382  2 Fe 2.52
Na 0.0000 0.0000 0.0000  12 Sb 3.36

Properties
For the raw formation energy, the calculation gives -66 meV/atom. As for the space group: Im-3, No. 204. For the total energy, the calculation gives -30.881 eV/atom.

***

A crystal of Be2GaRh2 relaxed with PBEsol, computed with meta-GGA SCAN.

abc: 2.8115 6.2758 6.2758
angles: 90.00 90.00 90.00
With the nearest neighbours (Å) after each atom.
Fractional positions:
Ga 0.0000 0.0000 0.0000  4 Be 2.49, 8 Rh 2.72
Ga 0.0000 0.5000 0.5000  4 Be 2.49, 8 Rh 2.72
Be 0.0000 0.3783 0.8783  1 Be 2.16, 6 Rh 2.31-2.34
Be 0.0000 0.8783 0.6217  1 Be 2.16, 6 Rh 2.31-2.34
Be 0.0000 0.1217 0.3783  1 Be 2.16, 6 Rh 2.31-2.34
Be 0.0000 0.6217 0.1217  1 Be 2.16, 6 Rh 2.31-2.34
Rh 0.5000 0.6724 0.8276  6 Be 2.31-2.34
Rh 0.5000 0.3276 0.1724  6 Be 2.31-2.34
Rh 0.5000 0.1724 0.6724  6 Be 2.31-2.34
Rh 0.5000 0.8276 0.3276  6 Be 2.31-2.34

Properties
The calculation puts the formation energy at -706 meV per atom. As for the space group: P4/mbm, No. 127. For the total energy, the calculation gives -19.225 eV/atom.

***

A crystal of Rb2NaNdI6 relaxed with PBEsol, computed with meta-GGA SCAN.

abc: 8.6330 8.6330 8.6330
angles: 60.00 60.00 60.00
With the nearest neighbours (Å) after each atom.
Fractional positions:
I 0.7499 0.7499 0.2501  1 Na 3.05, 1 Nd 3.05
I 0.2501 0.7499 0.2501  1 Na 3.05, 1 Nd 3.05
I 0.2501 0.2501 0.7499  1 Na 3.05, 1 Nd 3.05
I 0.7499 0.2501 0.7499  1 Na 3.05, 1 Nd 3.05
I 0.2501 0.7499 0.7499  1 Na 3.05, 1 Nd 3.05
I 0.7499 0.2501 0.2501  1 Na 3.05, 1 Nd 3.05
Na 0.5000 0.5000 0.5000  6 I 3.05
Nd 0.0000 0.0000 0.0000  6 I 3.05
Rb 0.2500 0.2500 0.2500  12 I 4.32
Rb 0.7500 0.7500 0.7500  12 I 4.32

Properties
For the raw formation energy, the calculation gives -1549 meV/atom. As for the space group: Fm-3m, No. 225. For the total energy, the calculation gives -32.522 eV/atom.